Entry 1:
Entry from the Alexandria database: a relaxed structure of Zn2TePb2 (PBE).

Geometry as extended XYZ:
```
5
Lattice="-1.953 1.953 8.689 1.953 -1.953 8.689 1.953 1.953 -8.689" Properties=species:S:1:pos:R:3 pbc="T T T"
Zn 1.953 0.000 4.345
Zn 0.000 1.953 4.345
Te 0.000 0.000 0.000
Pb 0.000 0.000 6.801
Pb 0.000 0.000 10.577
```

- energy above the most stable polymorph in this dataset (meV per atom) = 10
- formation energy without anion corrections (eV/atom) = 0.08
- D(E_F) (states/eV per cell) = 3.03
- volume (Å³ per atom) = 26.5


Entry 2:
Entry from the Alexandria database: a relaxed structure of ZnTePb2 (PBE).

Geometry as extended XYZ:
```
4
Lattice="3.579 -4.051 0.000 3.579 4.051 0.000 0.000 0.000 3.960" Properties=species:S:1:pos:R:3 pbc="T T T"
Zn 0.000 0.000 0.000
Te 3.579 0.000 0.000
Pb 1.790 2.025 1.980
Pb 1.790 -2.025 1.980
```

- energy above the most stable polymorph in this dataset (meV per atom) = 73
- formation energy without anion corrections (eV/atom) = 0.04
- D(E_F) (states/eV per cell) = 2.34
- volume (Å³ per atom) = 28.7


Entry 3:
Entry from the Alexandria database: a relaxed structure of ZnTePb2 (PBE).

Geometry as extended XYZ:
```
4
Lattice="3.345 0.000 0.000 0.000 3.345 0.000 0.000 0.000 9.987" Properties=species:S:1:pos:R:3 pbc="T T T"
Zn 0.000 0.000 0.000
Te 0.000 0.000 4.994
Pb 1.672 1.672 2.022
Pb 1.672 1.672 7.965
```

- energy above the most stable polymorph in this dataset (meV per atom) = 140
- formation energy without anion corrections (eV/atom) = 0.11
- D(E_F) (states/eV per cell) = 1.95
- volume (Å³ per atom) = 27.9